Computed, not measured: IrWO2F after structural relaxation at the PBE+U level of DFT.

## Properties
The value obtained for the total energy is -28.73 eV per formula unit.

a b c (Å): 3.941 3.941 4.239
angles (deg): 90.00 90.00 90.00
Space group P4/mmm (No. 123)
Asymmetric unit:
Ir: 0.000 0.000 0.000 x1
W: 0.500 0.500 0.500 x1
O: 0.000 0.500 0.500 x2
F: 0.500 0.500 0.000 x1